NaMnCrF6: optimized geometry, PBE+U.

Lattice parameters (Å, degrees): 5.4662 5.4662 9.6447 90.00 90.00 120.00
Space group P-31c (No. 163)
Symmetry-distinct sites (fractional):
Na1 0.0000 0.0000 0.0000 x2
Mn1 0.3333 0.6667 0.2500 x2
Cr1 0.3333 0.6667 0.7500 x2
F1 0.0269 0.3734 0.6396 x12

Properties
VASP energy in Ry per atom: -0.427
ΔE to the lowest computed polymorph in meV per atom: 18
Total magnetic moment in μB/cell: 16.00
Fermi-level density of states in states/eV per atom: 0.000
Crystal system: trigonal